# 1
Material: Li8MgGe2
Method: DFT, PBE-GGA
State: relaxed

Summary:
Theoretical density = 1.65 g cm⁻³
Calculated formation energy = -0.04 eV/atom

Cell: 7.033 7.033 4.665 Å, 97.79 97.79 85.44°
Sites, in units of the cell vectors:
1 Li 0.067 0.067 0.291
2 Li 0.092 0.607 0.343
3 Li 0.232 0.232 0.956
4 Li 0.393 0.908 0.657
5 Li 0.607 0.092 0.343
6 Li 0.768 0.768 0.044
7 Li 0.908 0.393 0.657
8 Li 0.933 0.933 0.709
9 Mg 0.500 0.500 0.000
10 Ge 0.318 0.318 0.498
11 Ge 0.682 0.682 0.502

=====

# 2
Material: Pm3Zn2Cd2
Method: DFT, PBE-GGA
State: relaxed

Summary:
Theoretical density = 7.41 g cm⁻³
Calculated formation energy = -0.25 eV/atom

Cell: 4.587 5.996 7.040 Å, 82.09 89.78 67.72°
Sites, in units of the cell vectors:
1 Pm 0.000 0.000 0.000
2 Pm 0.363 0.273 0.639
3 Pm 0.637 0.727 0.361
4 Zn 0.090 0.818 0.628
5 Zn 0.910 0.182 0.372
6 Cd 0.313 0.377 0.145
7 Cd 0.687 0.623 0.855

=====

# 3
Material: LaPuZnPb
Method: DFT, PBE-GGA
State: relaxed

Summary:
Theoretical density = 9.60 g cm⁻³
Calculated formation energy = -0.22 eV/atom

Cell: 5.433 5.433 5.433 Å, 60.00 60.00 60.00°
Sites, in units of the cell vectors:
1 La 0.000 0.000 0.000
2 Pu 0.500 0.500 0.500
3 Zn 0.750 0.750 0.750
4 Pb 0.250 0.250 0.250

=====

# 4
Material: NdY2I8
Method: DFT, PBE-GGA
State: relaxed

Summary:
Theoretical density = 3.55 g cm⁻³
E_form (uncorrected) = -1311 kJ/mol of formula units

Cell: 9.376 9.376 7.343 Å, 91.75 91.75 75.62°
Sites, in units of the cell vectors:
1 Nd 0.000 0.000 0.000
2 Y 0.188 0.188 0.647
3 Y 0.812 0.812 0.353
4 I 0.118 0.715 0.238
5 I 0.185 0.185 0.242
6 I 0.285 0.882 0.762
7 I 0.373 0.373 0.760
8 I 0.627 0.627 0.240
9 I 0.715 0.118 0.238
10 I 0.815 0.815 0.758
11 I 0.882 0.285 0.762

=====

| no. | Fermi-level density of states (states/eV/f.u.) | VASP energy (eV/cell) |
| --- | --- | --- |
| 1 | 3.03 | -26.63 |
| 2 | 5.93 | -20.37 |
| 3 | 10.21 | -25.14 |
| 4 | 0.29 | -43.68 |